This record from Alexandria via LeMat-Bulk describes a relaxed structure of Al2SbPb. The functional is GGA-PBE.

DOS at the Fermi energy in states/eV/f.u.: 1.80
Crystal system: monoclinic
Symmetry: C2/m, No. 12
Final energy in Ry per atom: -0.264
Energy above the most stable polymorph in this dataset in meV per atom: 105.3
Formation energy without anion corrections in eV per atom: 0.23

Cell: 5.193 5.193 5.603 Å, 110.62 110.62 45.31°
Positions (direct):
Al: 0.242 0.242 0.195
Al: 0.758 0.758 0.805
Sb: 0.500 0.500 0.000
Pb: 0.000 0.000 0.500


This record from Alexandria via LeMat-Bulk describes a relaxed structure of NbAsPBr2. The functional is GGA-PBE.

DOS at the Fermi energy in states/eV/f.u.: 2.57
Crystal system: tetragonal
Symmetry: P4/mmm, No. 123
Final energy in Ry per atom: -0.309
Energy above the most stable polymorph in this dataset in meV per atom: 0.0
Formation energy without anion corrections in eV per atom: 0.49

Cell: 5.127 5.127 5.214 Å, 90.00 90.00 90.00°
Positions (direct):
Nb: 0.000 0.000 0.000
As: 0.000 0.000 0.500
P: 0.500 0.500 0.500
Br: 0.000 0.500 0.000
Br: 0.500 0.000 0.000


This record from Alexandria via LeMat-Bulk describes a relaxed structure of Mg2GaF. The functional is GGA-PBE.

DOS at the Fermi energy in states/eV/f.u.: 2.86
Crystal system: cubic
Symmetry: Fm-3m, No. 225
Final energy in Ry per atom: -0.199
Energy above the most stable polymorph in this dataset in meV per atom: 384.3
Formation energy without anion corrections in eV per atom: -0.68

Cell: 4.675 4.675 4.675 Å, 60.00 60.00 60.00°
Positions (direct):
Mg: 0.250 0.250 0.250
Mg: 0.750 0.750 0.750
Ga: 0.000 0.000 0.000
F: 0.500 0.500 0.500


This record from Alexandria via LeMat-Bulk describes a relaxed structure of Er2Ni12P7. The functional is GGA-PBE.

DOS at the Fermi energy in states/eV/f.u.: 12.89
Crystal system: hexagonal
Symmetry: P-6, No. 174
Final energy in Ry per atom: -0.464
DFT formation energy in eV/atom: -0.771
Energy above the most stable polymorph in this dataset in meV per atom: 0.0

Cell: 9.030 9.030 3.678 Å, 90.00 90.00 120.00°
Positions (direct):
Er: 0.000 0.000 0.000
Er: 0.333 0.667 0.500
Ni: 0.048 0.765 0.500
Ni: 0.101 0.395 0.000
Ni: 0.235 0.284 0.500
Ni: 0.293 0.899 0.000
Ni: 0.392 0.211 0.000
Ni: 0.545 0.118 0.500
Ni: 0.573 0.455 0.500
Ni: 0.605 0.707 0.000
Ni: 0.716 0.952 0.500
Ni: 0.789 0.181 0.000
Ni: 0.819 0.608 0.000
Ni: 0.882 0.427 0.500
P: 0.075 0.628 0.000
P: 0.261 0.039 0.500
P: 0.372 0.447 0.000
P: 0.553 0.925 0.000
P: 0.667 0.333 0.000
P: 0.778 0.739 0.500
P: 0.961 0.222 0.500


This record from Alexandria via LeMat-Bulk describes a relaxed structure of LaCuBr2. The functional is GGA-PBE.

DOS at the Fermi energy in states/eV/f.u.: 1.76
Crystal system: trigonal
Symmetry: R-3m, No. 166
Final energy in Ry per atom: -0.277
Energy above the most stable polymorph in this dataset in meV per atom: 303.8
Formation energy without anion corrections in eV per atom: -0.67

Cell: 8.195 8.195 8.195 Å, 26.71 26.71 26.71°
Positions (direct):
La: 0.000 0.000 0.000
Cu: 0.500 0.500 0.500
Br: 0.234 0.234 0.234
Br: 0.766 0.766 0.766


This record from Alexandria via LeMat-Bulk describes a relaxed structure of Pm5HoCd4. The functional is GGA-PBE.

DOS at the Fermi energy in states/eV/f.u.: 12.24
Crystal system: tetragonal
Symmetry: P4/mmm, No. 123
Final energy in Ry per atom: -0.253
DFT formation energy in eV/atom: -0.242

Cell: 3.777 3.777 20.442 Å, 90.00 90.00 90.00°
Positions (direct):
Pm: 0.000 0.000 0.000
Pm: 0.000 0.000 0.191
Pm: 0.000 0.000 0.383
Pm: 0.000 0.000 0.617
Pm: 0.000 0.000 0.809
Ho: 0.500 0.500 0.500
Cd: 0.500 0.500 0.096
Cd: 0.500 0.500 0.288
Cd: 0.500 0.500 0.712
Cd: 0.500 0.500 0.904


This record from Alexandria via LeMat-Bulk describes a relaxed structure of Np2TeAu. The functional is GGA-PBE.

DOS at the Fermi energy in states/eV/f.u.: 11.77
Crystal system: cubic
Symmetry: Fm-3m, No. 225
Final energy in Ry per atom: -0.607
Energy above the most stable polymorph in this dataset in meV per atom: 27.2
Formation energy without anion corrections in eV per atom: -0.19

Cell: 5.217 5.217 5.217 Å, 60.00 60.00 60.00°
Positions (direct):
Np: 0.250 0.250 0.250
Np: 0.750 0.750 0.750
Te: 0.000 0.000 0.000
Au: 0.500 0.500 0.500


This record from Alexandria via LeMat-Bulk describes a relaxed structure of Sm4AsSe2I. The functional is GGA-PBE.

DOS at the Fermi energy in states/eV/f.u.: 3.08
Crystal system: monoclinic
Symmetry: P2/m, No. 10
Final energy in Ry per atom: -0.405
Formation energy without anion corrections in eV per atom: -1.50

Cell: 7.333 4.252 7.501 Å, 90.00 109.29 90.00°
Positions (direct):
Sm: 0.222 0.000 0.211
Sm: 0.244 0.500 0.778
Sm: 0.756 0.500 0.222
Sm: 0.778 0.000 0.789
As: 0.500 0.000 0.000
Se: 0.000 0.000 0.500
Se: 0.000 0.500 0.000
I: 0.500 0.500 0.500


This record from Alexandria via LeMat-Bulk describes a relaxed structure of KLiEuSn. The functional is GGA-PBE.

DOS at the Fermi energy in states/eV/f.u.: 9.15
Crystal system: cubic
Symmetry: F-43m, No. 216
Final energy in Ry per atom: -0.337
DFT formation energy in eV/atom: -0.267

Cell: 5.513 5.513 5.513 Å, 60.00 60.00 60.00°
Positions (direct):
K: 0.000 0.000 0.000
Li: 0.750 0.750 0.750
Eu: 0.250 0.250 0.250
Sn: 0.500 0.500 0.500


This record from Alexandria via LeMat-Bulk describes a relaxed structure of Pr2PuAgSe5. The functional is GGA-PBE.

DOS at the Fermi energy in states/eV/f.u.: 12.90
Crystal system: orthorhombic
Symmetry: Cmc2_1, No. 36
Final energy in Ry per atom: -0.465
Formation energy without anion corrections in eV per atom: -1.43

Cell: 9.039 9.039 12.604 Å, 90.00 90.00 153.18°
Positions (direct):
Pr: 0.111 0.889 0.500
Pr: 0.125 0.875 0.120
Pr: 0.875 0.125 0.620
Pr: 0.889 0.111 0.000
Pu: 0.198 0.802 0.822
Pu: 0.802 0.198 0.322
Ag: 0.448 0.552 0.274
Ag: 0.552 0.448 0.774
Se: 0.046 0.954 0.893
Se: 0.288 0.712 0.481
Se: 0.306 0.694 0.159
Se: 0.363 0.637 0.814
Se: 0.498 0.502 0.585
Se: 0.502 0.498 0.085
Se: 0.637 0.363 0.314
Se: 0.694 0.306 0.659
Se: 0.712 0.288 0.981
Se: 0.954 0.046 0.393